1.
First-principles (SCAN) data for a crystal of MgAl2Cd relaxed with PBEsol, as listed in the Alexandria database.

Lattice parameters (Å, degrees): 4.1490 4.1490 4.3555 90.00 90.00 90.00
Positions (direct):
Mg1 0.0000 0.0000 0.5000
Al1 0.0000 0.5000 0.0000
Al2 0.5000 0.0000 0.0000
Cd1 0.5000 0.5000 0.5000

Results
As for the magnetization: 0.00 μB/f.u. The density of states at the Fermi level comes out at 1.08 states/eV/cell. For the final energy, the calculation gives -12.7045 eV/atom. Its formation energy is 0.02 eV/atom.

2.
First-principles (SCAN) data for a crystal of TaAlOs2 relaxed with PBEsol, as listed in the Alexandria database.

Lattice parameters (Å, degrees): 3.1014 3.1014 6.0790 90.00 90.00 90.00
Positions (direct):
Os1 0.0000 0.0000 0.7440
Os2 0.0000 0.0000 0.2560
Ta1 0.5000 0.5000 0.0000
Al1 0.5000 0.5000 0.5000

Results
As for the magnetization: 0.00 μB/f.u. The density of states at the Fermi level comes out at 0.77 states/eV/cell. For the final energy, the calculation gives -55.2397 eV/atom. As for the distance to the lowest polymorph of the same formula: 0.068 eV per atom. Its formation energy is -0.72 eV/atom.

3.
First-principles (SCAN) data for a crystal of MnBrN2F relaxed with PBEsol, as listed in the Alexandria database.

Lattice parameters (Å, degrees): 3.8779 3.8779 4.2448 90.00 90.00 90.00
Positions (direct):
N1 0.5000 0.0000 0.0000
F1 0.0000 0.0000 0.5000
Br1 0.0000 0.0000 0.0000
N2 0.0000 0.5000 0.0000
Mn1 0.5000 0.5000 0.5000

Results
As for the magnetization: 4.94 μB/f.u. As for the formation energy from raw total energies: 1.33 eV/atom. The density of states at the Fermi level comes out at 1.97 states/eV/cell. For the final energy, the calculation gives -10.6338 eV/atom.

4.
First-principles (SCAN) data for a crystal of CrSeN2F relaxed with PBEsol, as listed in the Alexandria database.

Lattice parameters (Å, degrees): 3.9548 3.9548 3.9603 90.00 90.00 90.00
Positions (direct):
Cr1 0.5000 0.5000 0.5000
Se1 0.0000 0.0000 0.5000
N1 0.5000 0.0000 0.0000
N2 0.0000 0.5000 0.0000
F1 0.0000 0.0000 0.0000

Results
As for the magnetization: 0.69 μB/f.u. As for the formation energy from raw total energies: 1.71 eV/atom. The density of states at the Fermi level comes out at 1.65 states/eV/cell. For the final energy, the calculation gives -10.4087 eV/atom. As for the distance to the lowest polymorph of the same formula: 0.921 eV per atom.

5.
First-principles (SCAN) data for a crystal of BI3O relaxed with PBEsol, as listed in the Alexandria database.

Lattice parameters (Å, degrees): 4.9807 4.9807 4.9807 90.00 90.00 90.00
Positions (direct):
B1 0.5000 0.5000 0.5000
O1 0.0000 0.0000 0.0000
I1 0.0000 0.5000 0.0000
I2 0.0000 0.0000 0.5000
I3 0.5000 0.0000 0.0000

Results
As for the magnetization: 0.00 μB/f.u. As for the formation energy from raw total energies: 1.25 eV/atom. The density of states at the Fermi level comes out at 1.82 states/eV/cell. For the final energy, the calculation gives -23.5250 eV/atom.

6.
First-principles (SCAN) data for a crystal of K2AlPt relaxed with PBEsol, as listed in the Alexandria database.

Lattice parameters (Å, degrees): 3.0463 5.3587 5.7009 90.00 91.55 90.00
Positions (direct):
Al1 0.5000 0.5000 0.5000
K1 0.0209 0.0000 0.7611
K2 0.9791 0.0000 0.2389
Pt1 0.5000 0.5000 0.0000

Results
As for the magnetization: 0.00 μB/f.u. The density of states at the Fermi level comes out at 1.85 states/eV/cell. For the final energy, the calculation gives -23.3787 eV/atom. Its formation energy is 0.27 eV/atom.

7.
First-principles (SCAN) data for a crystal of Ba3SrY8Cu4O20 relaxed with PBEsol, as listed in the Alexandria database.

Lattice parameters (Å, degrees): 5.6113 7.0921 12.0498 90.09 90.00 90.00
Positions (direct):
O1 0.0000 0.0822 0.8984
O2 0.7577 0.8336 0.4345
O3 0.2518 0.3575 0.7706
Y1 0.0000 0.1157 0.7108
Cu1 0.0000 0.7820 0.8378
O4 0.2534 0.1453 0.2736
O5 0.2573 0.1633 0.5669
Y2 0.0000 0.3860 0.2134
O6 0.7466 0.1453 0.2736
O7 0.7441 0.3350 0.0673
O8 0.7572 0.8505 0.7247
Cu2 0.0000 0.7151 0.3408
Y3 0.5000 0.6030 0.0745
O9 0.5000 0.5797 0.5993
O10 0.0000 0.4229 0.4058
O11 0.7562 0.6657 0.9330
Ba1 0.5000 0.4314 0.4052
Cu3 0.5000 0.2848 0.6593
O12 0.7539 0.6443 0.2282
O13 0.2428 0.8505 0.7247
Y4 0.5000 0.8854 0.2890
O14 0.5000 0.9186 0.1012
Y5 0.5000 0.6132 0.7867
O15 0.2438 0.6657 0.9330
O16 0.2423 0.8336 0.4345
O17 0.2461 0.6443 0.2282
Y6 0.0000 0.3977 0.9250
Y7 0.5000 0.8952 0.5747
Ba2 0.0000 0.9310 0.0957
Cu4 0.5000 0.2158 0.1610
O18 0.7427 0.1633 0.5669
O19 0.7482 0.3575 0.7706
Ba3 0.5000 0.0679 0.9040
O20 0.2559 0.3350 0.0673
Y8 0.0000 0.1044 0.4269
Sr1 0.0000 0.5776 0.5926

Results
As for the magnetization: 3.99 μB/f.u. As for the formation energy from raw total energies: -3.03 eV/atom. For the final energy, the calculation gives -18.2817 eV/atom.

8.
First-principles (SCAN) data for a crystal of Ni2BRu2 relaxed with PBEsol, as listed in the Alexandria database.

Lattice parameters (Å, degrees): 3.2856 3.2856 6.4985 104.64 104.64 90.00
Positions (direct):
B1 0.0000 0.0000 0.0000
Ru1 0.7500 0.2500 0.5000
Ni1 0.4091 0.4091 0.8182
Ru2 0.2500 0.7500 0.5000
Ni2 0.5909 0.5909 0.1818

Results
As for the magnetization: 0.00 μB/f.u. The density of states at the Fermi level comes out at 5.00 states/eV/cell. For the final energy, the calculation gives -20.6599 eV/atom. Its formation energy is 1.23 eV/atom.

9.
First-principles (SCAN) data for a crystal of LuSBr relaxed with PBEsol, as listed in the Alexandria database.

Lattice parameters (Å, degrees): 3.8845 5.2138 8.4765 90.00 90.00 90.00
Positions (direct):
Br1 0.0000 0.5000 0.6462
S1 0.0000 0.5000 0.0855
Lu1 0.0000 0.0000 0.1278
Br2 0.5000 0.0000 0.3538
Lu2 0.5000 0.5000 0.8722
S2 0.5000 0.0000 0.9145

Results
As for the magnetization: 0.00 μB/f.u. As for the formation energy from raw total energies: -2.23 eV/atom. The density of states at the Fermi level comes out at 0.00 states/eV/cell. For the final energy, the calculation gives -30.3742 eV/atom.

10.
First-principles (SCAN) data for a crystal of Li4CoOF5 relaxed with PBEsol, as listed in the Alexandria database.

Lattice parameters (Å, degrees): 3.5715 5.3356 6.4778 65.99 74.00 70.45
Positions (direct):
Li1 0.6351 0.6107 0.1192
Co1 0.0000 0.5000 0.5000
F1 0.5000 0.0000 0.0000
Li2 0.3339 0.0289 0.3033
F2 0.1860 0.4496 0.1784
Li3 0.6661 0.9711 0.6967
F3 0.8539 0.9105 0.3816
O1 0.5000 0.5000 0.5000
F4 0.1461 0.0895 0.6184
Li4 0.3649 0.3893 0.8808
F5 0.8140 0.5504 0.8216

Results
As for the magnetization: 2.83 μB/f.u. As for the formation energy from raw total energies: -2.66 eV/atom. The density of states at the Fermi level comes out at 1.26 states/eV/cell. For the final energy, the calculation gives -7.2798 eV/atom.

11.
First-principles (SCAN) data for a crystal of LiYMn2 relaxed with PBEsol, as listed in the Alexandria database.

Lattice parameters (Å, degrees): 3.3246 4.5577 5.2825 115.56 108.34 90.00
Positions (direct):
Y1 0.0000 0.5000 0.0000
Mn1 0.7672 0.7672 0.5344
Mn2 0.2328 0.2328 0.4656
Li1 0.5000 0.0000 0.0000

Results
As for the magnetization: 6.92 μB/f.u. The density of states at the Fermi level comes out at 3.13 states/eV/cell. For the final energy, the calculation gives -16.5183 eV/atom. As for the distance to the lowest polymorph of the same formula: 0.000 eV per atom. Its formation energy is 0.17 eV/atom.

12.
First-principles (SCAN) data for a crystal of MnBe3Si relaxed with PBEsol, as listed in the Alexandria database.

Lattice parameters (Å, degrees): 4.0917 4.0917 4.0917 90.00 90.00 90.00
Positions (direct):
Mn1 0.5000 0.5000 0.5000
Be1 0.5000 0.0000 0.0000
Be2 0.0000 0.0000 0.5000
Be3 0.0000 0.5000 0.0000
Si1 0.0000 0.0000 0.0000

Results
As for the magnetization: 4.14 μB/f.u. As for the formation energy from raw total energies: 0.89 eV/atom. The density of states at the Fermi level comes out at 2.28 states/eV/cell. For the final energy, the calculation gives -7.3782 eV/atom.

13.
First-principles (SCAN) data for a crystal of BeNiRh2 relaxed with PBEsol, as listed in the Alexandria database.

Lattice parameters (Å, degrees): 2.6667 2.6667 6.2995 90.00 90.00 90.00
Positions (direct):
Be1 0.0000 0.0000 0.5151
Ni1 0.5000 0.5000 0.7088
Rh1 0.5000 0.5000 0.2874
Rh2 0.0000 0.0000 0.9888

Results
As for the magnetization: 1.71 μB/f.u. The density of states at the Fermi level comes out at 3.06 states/eV/cell. For the final energy, the calculation gives -22.2938 eV/atom. Its formation energy is -0.28 eV/atom.

14.
First-principles (SCAN) data for a crystal of MgSbPS2 relaxed with PBEsol, as listed in the Alexandria database.

Lattice parameters (Å, degrees): 4.9578 4.9578 4.9576 90.00 90.00 90.00
Positions (direct):
Mg1 0.5000 0.5000 0.5000
Sb1 0.0000 0.0000 0.0000
S1 0.5000 0.0000 0.0000
S2 0.0000 0.5000 0.0000
P1 0.0000 0.0000 0.5000

Results
As for the magnetization: 0.00 μB/f.u. As for the formation energy from raw total energies: 0.43 eV/atom. The density of states at the Fermi level comes out at 3.67 states/eV/cell. For the final energy, the calculation gives -13.9466 eV/atom.

15.
First-principles (SCAN) data for a crystal of CaCd4Tc relaxed with PBEsol, as listed in the Alexandria database.

Lattice parameters (Å, degrees): 5.5893 5.5893 5.5893 60.00 60.00 60.00
Positions (direct):
Cd1 0.3759 0.3759 0.3759
Cd2 0.3759 0.8724 0.3759
Tc1 0.7500 0.7500 0.7500
Cd3 0.8724 0.3759 0.3759
Cd4 0.3759 0.3759 0.8724
Ca1 0.0000 0.0000 0.0000

Results
As for the magnetization: 2.93 μB/f.u. The density of states at the Fermi level comes out at 1.51 states/eV/cell. For the final energy, the calculation gives -27.5831 eV/atom. Its formation energy is 0.15 eV/atom.

16.
First-principles (SCAN) data for a crystal of NiH4N2 relaxed with PBEsol, as listed in the Alexandria database.

Lattice parameters (Å, degrees): 10.4401 10.4401 10.4401 90.00 90.00 90.00
Positions (direct):
N1 0.1806 0.3722 0.1267
Ni1 0.0000 0.3646 0.8661
H1 0.2891 0.0986 0.2277
H2 0.2891 0.9014 0.7723
N2 0.1267 0.8194 0.6278
H3 0.3992 0.2115 0.2229
H4 0.2891 0.0986 0.7723
H5 0.2277 0.2891 0.9014
H6 0.6008 0.2115 0.7771
H7 0.9201 0.1842 0.0000
H8 0.0000 0.9201 0.1842
H9 0.2891 0.9014 0.2277
H10 0.5000 0.6854 0.0777
H11 0.0000 0.0799 0.8158
N3 0.1806 0.6278 0.8733
Ni2 0.8661 0.0000 0.3646
Ni3 0.0000 0.6354 0.1339
N4 0.0000 0.5000 0.7461
N5 0.5000 0.7461 0.0000
H12 0.2115 0.2229 0.3992
N6 0.0000 0.2423 0.0000
H13 0.2115 0.2229 0.6008
N7 0.8194 0.6278 0.1267
N8 0.1267 0.8194 0.3722
H14 0.7723 0.7109 0.0986
H15 0.7771 0.6008 0.7885
H16 0.1842 0.0000 0.9201
H17 0.2115 0.7771 0.6008
H18 0.6854 0.0777 0.5000
H19 0.0000 0.0799 0.1842
N9 0.8733 0.8194 0.3722
H20 0.7885 0.2229 0.6008
N10 0.2539 0.0000 0.5000
N11 0.1267 0.1806 0.6278
H21 0.5000 0.3146 0.9223
H22 0.3146 0.0777 0.5000
N12 0.0000 0.5000 0.2539
N13 0.8733 0.1806 0.3722
H23 0.2229 0.3992 0.2115
H24 0.2277 0.2891 0.0986
H25 0.7109 0.9014 0.7723
H26 0.9223 0.5000 0.6854
H27 0.7885 0.7771 0.6008
N14 0.0000 0.0000 0.2423
H28 0.3146 0.9223 0.5000
H29 0.3992 0.7885 0.2229
H30 0.9014 0.2277 0.7109
Ni4 0.0000 0.8129 0.5000
H31 0.7771 0.6008 0.2115
Ni5 0.8661 0.0000 0.6354
Ni6 0.0000 0.1871 0.5000
H32 0.7109 0.9014 0.2277
Ni7 0.1871 0.5000 0.0000
N15 0.8733 0.8194 0.6278
Ni8 0.0000 0.6354 0.8661
H33 0.7723 0.2891 0.9014
H34 0.6008 0.7885 0.7771
H35 0.9014 0.7723 0.2891
N16 0.0000 0.7577 0.0000
H36 0.0986 0.2277 0.7109
Ni9 0.0000 0.3646 0.1339
H37 0.8158 0.0000 0.9201
N17 0.1806 0.6278 0.1267
N18 0.8194 0.3722 0.1267
N19 0.5000 0.2539 0.0000
H38 0.7723 0.2891 0.0986
N20 0.1267 0.1806 0.3722
H39 0.9014 0.7723 0.7109
H40 0.7771 0.3992 0.7885
N21 0.7577 0.0000 0.0000
H41 0.2229 0.6008 0.7885
H42 0.0777 0.5000 0.3146
H43 0.2277 0.7109 0.0986
N22 0.8194 0.3722 0.8733
Ni10 0.6354 0.1339 0.0000
Ni11 0.3646 0.8661 0.0000
H44 0.2115 0.7771 0.3992
H45 0.9014 0.2277 0.2891
H46 0.0986 0.7723 0.2891
N23 0.8194 0.6278 0.8733
H47 0.7109 0.0986 0.7723
H48 0.9223 0.5000 0.3146
H49 0.2229 0.6008 0.2115
N24 0.1806 0.3722 0.8733
N25 0.2423 0.0000 0.0000
Ni12 0.3646 0.1339 0.0000
N26 0.3722 0.8733 0.8194
H50 0.7885 0.2229 0.3992
H51 0.6008 0.2115 0.2229
N27 0.3722 0.1267 0.8194
H52 0.2277 0.7109 0.9014
Ni13 0.5000 0.0000 0.1871
H53 0.1842 0.0000 0.0799
H54 0.2229 0.3992 0.7885
N28 0.3722 0.1267 0.1806
H55 0.6008 0.7885 0.2229
H56 0.7723 0.7109 0.9014
N29 0.3722 0.8733 0.1806
H57 0.5000 0.6854 0.9223
N30 0.6278 0.1267 0.1806
Ni14 0.6354 0.8661 0.0000
N31 0.6278 0.1267 0.8194
H58 0.8158 0.0000 0.0799
H59 0.0986 0.7723 0.7109
H60 0.3992 0.2115 0.7771
N32 0.8733 0.1806 0.6278
H61 0.7109 0.0986 0.2277
N33 0.6278 0.8733 0.8194
H62 0.0799 0.1842 0.0000
Ni15 0.1339 0.0000 0.3646
H63 0.7771 0.3992 0.2115
H64 0.0000 0.9201 0.8158
H65 0.9201 0.8158 0.0000
N34 0.7461 0.0000 0.5000
H66 0.7885 0.7771 0.3992
N35 0.6278 0.8733 0.1806
H67 0.0986 0.2277 0.2891
H68 0.5000 0.3146 0.0777
N36 0.0000 0.0000 0.7577
H69 0.3992 0.7885 0.7771
H70 0.6854 0.9223 0.5000
H71 0.0777 0.5000 0.6854
Ni16 0.1339 0.0000 0.6354
H72 0.0799 0.8158 0.0000
Ni17 0.8129 0.5000 0.0000
Ni18 0.5000 0.0000 0.8129

Results
As for the magnetization: 0.06 μB/f.u. For the final energy, the calculation gives -7.2268 eV/atom.

17.
First-principles (SCAN) data for a crystal of SiRu2Br relaxed with PBEsol, as listed in the Alexandria database.

Lattice parameters (Å, degrees): 2.8529 4.0732 5.1825 90.00 90.00 90.00
Positions (direct):
Si1 0.5000 0.5000 0.0000
Ru1 0.0000 0.0000 0.0000
Ru2 0.5000 0.0000 0.5000
Br1 0.0000 0.5000 0.5000

Results
As for the magnetization: 0.00 μB/f.u. As for the formation energy from raw total energies: 0.70 eV/atom. The density of states at the Fermi level comes out at 3.47 states/eV/cell. For the final energy, the calculation gives -24.0836 eV/atom. As for the distance to the lowest polymorph of the same formula: 0.000 eV per atom.

18.
First-principles (SCAN) data for a crystal of Li2SbTe relaxed with PBEsol, as listed in the Alexandria database.

Lattice parameters (Å, degrees): 3.2422 3.2422 8.3128 90.00 90.00 90.87
Positions (direct):
Li1 0.0000 0.0000 0.7505
Li2 0.0000 0.0000 0.2495
Sb1 0.5000 0.5000 0.5000
Te1 0.5000 0.5000 0.0000

Results
As for the magnetization: 0.00 μB/f.u. As for the formation energy from raw total energies: -0.53 eV/atom. The density of states at the Fermi level comes out at 1.37 states/eV/cell. For the final energy, the calculation gives -20.3525 eV/atom. As for the distance to the lowest polymorph of the same formula: 0.012 eV per atom.

19.
First-principles (SCAN) data for a crystal of AsPb2Au relaxed with PBEsol, as listed in the Alexandria database.

Lattice parameters (Å, degrees): 4.1047 4.1047 7.2969 73.66 73.66 60.00
Positions (direct):
Au1 0.5000 0.5000 0.5000
Pb1 0.7500 0.7500 0.7500
As1 0.0000 0.0000 0.0000
Pb2 0.2500 0.2500 0.2500

Results
As for the magnetization: 0.00 μB/f.u. The density of states at the Fermi level comes out at 1.36 states/eV/cell. For the final energy, the calculation gives -60.2470 eV/atom. Its formation energy is -0.02 eV/atom.

20.
First-principles (SCAN) data for a crystal of Tl2AgTeW relaxed with PBEsol, as listed in the Alexandria database.

Lattice parameters (Å, degrees): 4.9670 6.0122 6.0122 90.00 90.00 90.00
Positions (direct):
Tl1 0.0000 0.0000 0.5000
Te1 0.0000 0.0000 0.0000
Tl2 0.0000 0.5000 0.0000
Ag1 0.5000 0.0000 0.0000
W1 0.5000 0.5000 0.5000

Results
As for the magnetization: 4.78 μB/f.u. As for the formation energy from raw total energies: 1.70 eV/atom. The density of states at the Fermi level comes out at 2.16 states/eV/cell. For the final energy, the calculation gives -54.9058 eV/atom.